NaSrTa2Te | PBE-GGA | optimized geometry

POSCAR file:
```
NaSrTa2Te
1.0
5.129 0.000 0.000
0.000 5.321 0.000
0.000 0.000 5.129
Te Ta Na Sr
1 2 1 1
Direct
0.500 0.500 0.500
0.000 0.000 0.500
0.500 0.000 0.000
0.000 0.500 0.000
0.000 0.000 0.000
```

Summary:
Size of the total moment: 0.067 μB per atom
Calculated density: 7118 kg/m3
SG: P4/mmm
Total energy: -18.5 eV/cell
DOS(E_F): 6.7 states/eV/cell